# 1
HoPu4Pd5 | GGA-PBE | optimized geometry

abc: 3.4340 3.4340 18.3918
angles: 90.00 90.00 90.00
Last column: magnetic moment on the atom in μB.
Element x y z (fractional)
Pu  0.0000  0.0000  0.5998  5.30
Pu  0.0000  0.0000  0.4002  5.30
Pd  0.5000  0.5000  0.0917  0.00
Pd  0.5000  0.5000  0.9083  0.00
Ho  0.0000  0.0000  0.0000  -0.06
Pd  0.5000  0.5000  0.7013  0.00
Pu  0.0000  0.0000  0.8016  -5.33
Pu  0.0000  0.0000  0.1984  -5.33
Pd  0.5000  0.5000  0.2987  0.00
Pd  0.5000  0.5000  0.5000  -0.05

Results
The magnetization comes out at 0.2 μB/f.u. The value obtained for the formation energy is -0.492 eV/atom.

---

# 2
AgSbI2Cl | GGA-PBE | optimized geometry

abc: 5.5332 5.5332 5.5645
angles: 90.00 90.00 90.00
Element x y z (fractional)
I  0.5000  0.0000  0.0000
I  0.0000  0.5000  0.0000
Sb  0.0000  0.0000  0.5000
Cl  0.5000  0.5000  0.5000
Ag  0.0000  0.0000  0.0000

Results
For the raw formation energy, the calculation gives 8.0 kcal/mol of atoms. The magnetization comes out at 0.0 μB/f.u. The excess energy over the best structure of this formula in the dataset comes out at 0 meV per atom.

---

# 3
PmDyGa4 | GGA-PBE | optimized geometry

abc: 5.5589 5.5589 5.5589
angles: 60.00 60.00 60.00
Element x y z (fractional)
Ga  0.6249  0.6249  0.1252
Ga  0.1252  0.6249  0.6249
Pm  0.0000  0.0000  0.0000
Ga  0.6249  0.6249  0.6249
Ga  0.6249  0.1252  0.6249
Dy  0.2500  0.2500  0.2500

Results
The magnetization comes out at 0.0 μB/f.u. The value obtained for the formation energy is -0.559 eV/atom. The excess energy over the best structure of this formula in the dataset comes out at 109 meV per atom.